## Li2CeDy2Si2 (GGA-PBE)

Data for a relaxed Li2CeDy2Si2 crystal.

Results
space-group type: R-3m (166)
formation energy without anion corrections: -2.5 eV/f.u.
M_tot: 1.1 μB per formula unit

abc: 4.4907 4.4907 9.1492
angles: 75.79 75.79 60.00
Last column: nearest neighbours and their distance in Å.
Positions (direct):
1 Dy 0.1279 0.1279 0.6164  3 Si 2.97, 3 Li 2.98, 3 Dy 3.30
2 Dy 0.8721 0.8721 0.3836  3 Si 2.97, 3 Li 2.98, 3 Dy 3.30
3 Ce 0.0000 0.0000 0.0000  6 Li 3.21, 6 Si 3.23, 2 Dy 3.37
4 Si 0.7397 0.7397 0.7809  3 Li 2.59
5 Si 0.2603 0.2603 0.2191  3 Li 2.59
6 Li 0.5949 0.5949 0.2154  3 Si 2.59
7 Li 0.4051 0.4051 0.7846  3 Si 2.59

## InIr3 (GGA-PBE)

Data for a relaxed InIr3 crystal.

Results
space-group type: Cmmm (65)
ΔE_f: 0.092 eV/atom
M_tot: 0.0 μB per formula unit

abc: 4.8109 4.8109 2.8435
angles: 90.00 90.00 106.98
Last column: nearest neighbours and their distance in Å.
Positions (direct):
1 Ir 0.5000 0.5000 0.0000  10 Ir 2.79-2.84, 2 In 2.86
2 Ir 0.5000 0.0000 0.5000  8 Ir 2.79-2.86, 4 In 2.79
3 Ir 0.0000 0.5000 0.5000  4 In 2.79, 8 Ir 2.79-2.86
4 In 0.0000 0.0000 0.0000  10 Ir 2.79-2.86, 2 In 2.84

## Pm2Pr4Sn3Cl2 (GGA-PBE)

Data for a relaxed Pm2Pr4Sn3Cl2 crystal.

Results
space-group type: I4/mmm (139)
formation energy without anion corrections: -8.6 eV/f.u.
M_tot: 0.0 μB per formula unit

abc: 5.3612 5.3612 12.7624
angles: 102.12 102.12 90.00
Last column: nearest neighbours and their distance in Å.
Positions (direct):
1 Sn 0.8276 0.8276 0.6551  1 Pm 3.15, 4 Pr 3.37
2 Sn 0.1724 0.1724 0.3449  1 Pm 3.15, 4 Pr 3.37
3 Sn 0.0000 0.0000 0.0000  8 Pr 3.44
4 Pr 0.4116 0.9116 0.8231  2 Cl 2.72
5 Pr 0.9116 0.4116 0.8231  2 Cl 2.72
6 Pr 0.0884 0.5884 0.1769  2 Cl 2.72
7 Pr 0.5884 0.0884 0.1769  2 Cl 2.72
8 Pm 0.3018 0.3018 0.6037  1 Sn 3.15, 1 Cl 3.16
9 Pm 0.6982 0.6982 0.3963  1 Sn 3.15, 1 Cl 3.16
10 Cl 0.5686 0.5686 0.1372  4 Pr 2.72
11 Cl 0.4314 0.4314 0.8628  4 Pr 2.72

## Be5Cl3 (GGA-PBE)

Data for a relaxed Be5Cl3 crystal.

Results
space-group type: P6_3/mcm (193)
formation energy without anion corrections: 3.4 eV/f.u.
M_tot: 0.0 μB per formula unit

abc: 9.1684 9.1684 4.4847
angles: 90.00 90.00 120.00
Last column: nearest neighbours and their distance in Å.
Positions (direct):
1 Be 0.6667 0.3333 0.0000  2 Be 2.24
2 Be 0.1273 0.0000 0.2500  2 Be 2.02, 2 Cl 2.13
3 Be 0.3333 0.6667 0.5000  2 Be 2.24
4 Be 0.8727 0.0000 0.7500  2 Be 2.02, 2 Cl 2.13
5 Be 0.1273 0.1273 0.7500  2 Be 2.02, 2 Cl 2.13
6 Be 0.3333 0.6667 0.0000  2 Be 2.24
7 Be 0.6667 0.3333 0.5000  2 Be 2.24
8 Be 0.0000 0.8727 0.7500  2 Be 2.02, 2 Cl 2.13
9 Be 0.0000 0.1273 0.2500  2 Be 2.02, 2 Cl 2.13
10 Be 0.8727 0.8727 0.2500  2 Be 2.02, 2 Cl 2.13
11 Cl 0.7316 0.7316 0.7500  2 Be 2.13
12 Cl 0.2684 0.0000 0.7500  2 Be 2.13
13 Cl 0.7316 0.0000 0.2500  2 Be 2.13
14 Cl 0.2684 0.2684 0.2500  2 Be 2.13
15 Cl 0.0000 0.2684 0.7500  2 Be 2.13
16 Cl 0.0000 0.7316 0.2500  2 Be 2.13